Below is a relaxed La2ScCl crystal, with properties calculated at the PBE level.

As for the energy above the most stable polymorph in this dataset: 0.162 eV per atom. The space group is Cm (8).

a b c (Å): 6.6848 6.6848 5.6965
angles (deg): 114.76 114.76 29.91
With the nearest neighbours (Å) after each atom.
Sites, in units of the cell vectors:
La (0.0000, 0.0000, 0.0000)  2 Cl 3.28, 4 Sc 3.42, 2 La 3.45
La (0.2069, 0.2069, 0.7070)  4 Cl 3.33-3.38, 3 La 3.45-3.71, 2 Sc 3.61
Sc (0.4341, 0.4341, 0.4352)  2 Cl 2.84
Cl (0.7399, 0.7399, 0.2344)  2 Sc 2.84

=====

Below is a relaxed Ca6Sn4Cl19 crystal, with properties calculated at the PBE level.

The value obtained for the final energy is -3.899 eV/atom. The space group is I23 (197).

a b c (Å): 10.4881 10.4881 10.4881
angles (deg): 109.47 109.47 109.47
With the nearest neighbours (Å) after each atom.
Sites, in units of the cell vectors:
Ca (0.1679, 0.6679, 0.5000)  6 Cl 2.74-2.78
Ca (0.3321, 0.5000, 0.8321)  6 Cl 2.74-2.78
Ca (0.5000, 0.1679, 0.6679)  6 Cl 2.74-2.78
Ca (0.5000, 0.8321, 0.3321)  6 Cl 2.74-2.78
Ca (0.6679, 0.5000, 0.1679)  6 Cl 2.74-2.78
Ca (0.8321, 0.3321, 0.5000)  6 Cl 2.74-2.78
Sn (0.0000, 0.0000, 0.7091)  4 Cl 2.79-3.05
Sn (0.0000, 0.7091, 0.0000)  4 Cl 2.79-3.05
Sn (0.2909, 0.2909, 0.2909)  4 Cl 2.79-3.05
Sn (0.7091, 0.0000, 0.0000)  4 Cl 2.79-3.05
Cl (0.0000, 0.0000, 0.0000)  4 Sn 3.05
Cl (0.0000, 0.3484, 0.3484)  2 Ca 2.74
Cl (0.0000, 0.6516, 0.6516)  2 Ca 2.74
Cl (0.0314, 0.2438, 0.6462)  2 Ca 2.77-2.78, 1 Sn 2.79
Cl (0.2124, 0.9686, 0.6148)  2 Ca 2.77-2.78, 1 Sn 2.79
Cl (0.2438, 0.6462, 0.0314)  2 Ca 2.77-2.78, 1 Sn 2.79
Cl (0.3484, 0.0000, 0.3484)  2 Ca 2.74
Cl (0.3484, 0.3484, 0.0000)  2 Ca 2.74
Cl (0.3538, 0.5975, 0.3852)  2 Ca 2.77-2.78, 1 Sn 2.79
Cl (0.3852, 0.3538, 0.5975)  2 Ca 2.77-2.78, 1 Sn 2.79
Cl (0.4025, 0.7562, 0.7876)  2 Ca 2.77-2.78, 1 Sn 2.79
Cl (0.5975, 0.3852, 0.3538)  2 Ca 2.77-2.78, 1 Sn 2.79
Cl (0.6148, 0.2124, 0.9686)  2 Ca 2.77-2.78, 1 Sn 2.79
Cl (0.6462, 0.0314, 0.2438)  2 Ca 2.77-2.78, 1 Sn 2.79
Cl (0.6516, 0.0000, 0.6516)  2 Ca 2.74
Cl (0.6516, 0.6516, 0.0000)  2 Ca 2.74
Cl (0.7562, 0.7876, 0.4025)  2 Ca 2.77-2.78, 1 Sn 2.79
Cl (0.7876, 0.4025, 0.7562)  2 Ca 2.77-2.78, 1 Sn 2.79
Cl (0.9686, 0.6148, 0.2124)  2 Ca 2.77-2.78, 1 Sn 2.79

=====

Below is a relaxed NiAg2As crystal, with properties calculated at the PBE level.

As for the formation energy from the elements: 320.3 meV per atom. The space group is R-3m (166).

a b c (Å): 9.1241 9.1241 9.1241
angles (deg): 18.49 18.49 18.49
With the nearest neighbours (Å) after each atom.
Sites, in units of the cell vectors:
Ni (0.0000, 0.0000, 0.0000)  6 Ag 2.70, 6 Ni 2.93
Ag (0.2553, 0.2553, 0.2553)  3 Ni 2.70, 3 As 2.92, 6 Ag 2.93
Ag (0.7447, 0.7447, 0.7447)  3 Ni 2.70, 3 As 2.92, 6 Ag 2.93
As (0.5000, 0.5000, 0.5000)  6 Ag 2.92, 6 As 2.93

=====

Below is a relaxed AcTbYTh crystal, with properties calculated at the PBE level.

As for the energy above the most stable polymorph in this dataset: 0.000 eV per atom. As for the formation energy from the elements: 39.4 meV per atom. The space group is P4mm (99).

a b c (Å): 3.6968 3.6968 10.2632
angles (deg): 90.00 90.00 90.00
With the nearest neighbours (Å) after each atom.
Sites, in units of the cell vectors:
Ac (0.0000, 0.0000, 0.0000)  4 Ac 3.70, 4 Tb 3.81, 4 Y 3.82
Tb (0.5000, 0.5000, 0.2700)  4 Th 3.51, 4 Tb 3.70, 4 Ac 3.81
Y (0.5000, 0.5000, 0.7291)  4 Th 3.52, 4 Y 3.70, 4 Ac 3.82
Th (0.0000, 0.0000, 0.4989)  4 Tb 3.51, 4 Y 3.52, 4 Th 3.70

=====

Below is a relaxed BeRh2Pb crystal, with properties calculated at the PBE level.

As for the energy above the most stable polymorph in this dataset: 0.083 eV per atom. As for the formation energy from the elements: -23.3 meV per atom. The space group is P4mm (99).

a b c (Å): 3.1630 3.1630 6.3754
angles (deg): 90.00 90.00 90.00
With the nearest neighbours (Å) after each atom.
Sites, in units of the cell vectors:
Be (0.0000, 0.0000, 0.0000)  5 Rh 2.28-2.36
Rh (0.0000, 0.0000, 0.6293)  1 Be 2.36
Rh (0.5000, 0.5000, 0.9271)  4 Be 2.28
Pb (0.5000, 0.5000, 0.3627)  5 Rh 2.78-2.81

=====

Below is a relaxed LaSm7Ho4 crystal, with properties calculated at the PBE level.

As for the energy above the most stable polymorph in this dataset: 0.246 eV per atom. As for the formation energy from the elements: 247.3 meV per atom. The space group is C2/m (12).

a b c (Å): 6.7596 6.7596 12.7194
angles (deg): 114.81 114.81 52.67
With the nearest neighbours (Å) after each atom.
Sites, in units of the cell vectors:
La (0.0000, 0.0000, 0.0000)  4 Sm 3.00-3.14
Sm (0.0579, 0.0579, 0.3331)  4 Sm 3.33-3.56, 3 Ho 3.64-3.68
Sm (0.2088, 0.2088, 0.9201)  1 La 3.14, 4 Sm 3.18-3.50, 4 Ho 3.28-3.43
Sm (0.3686, 0.3686, 0.4960)  2 Sm 3.14-3.34, 3 Ho 3.29-3.49
Sm (0.5000, 0.5000, 0.0000)  2 La 3.00, 2 Sm 3.18
Sm (0.6314, 0.6314, 0.5040)  2 Sm 3.14-3.34, 3 Ho 3.29-3.49
Sm (0.7912, 0.7912, 0.0799)  1 La 3.14, 4 Sm 3.18-3.50, 4 Ho 3.28-3.43
Sm (0.9421, 0.9421, 0.6669)  4 Sm 3.33-3.56, 3 Ho 3.64-3.68
Ho (0.2539, 0.2539, 0.6850)  4 Sm 3.28-3.65
Ho (0.3680, 0.3680, 0.2250)  7 Sm 3.41-3.64, 2 Ho 3.75
Ho (0.6320, 0.6320, 0.7750)  7 Sm 3.41-3.64, 2 Ho 3.75
Ho (0.7461, 0.7461, 0.3150)  4 Sm 3.28-3.65

=====

Below is a relaxed ZrV2ZnN crystal, with properties calculated at the PBE level.

The value obtained for the final energy is -7.861 eV/atom. The space group is P4/mmm (123).

a b c (Å): 3.9493 3.9493 4.4950
angles (deg): 90.00 90.00 90.00
With the nearest neighbours (Å) after each atom.
Sites, in units of the cell vectors:
Zr (0.0000, 0.0000, 0.0000)  2 N 2.25
V (0.0000, 0.5000, 0.5000)  2 N 1.97
V (0.5000, 0.0000, 0.5000)  2 N 1.97
Zn (0.5000, 0.5000, 0.0000)  4 Zr 2.79, 8 V 2.99
N (0.0000, 0.0000, 0.5000)  4 V 1.97

=====

Below is a relaxed PrTlO3 crystal, with properties calculated at the PBE level.

The value obtained for the final energy is -6.369 eV/atom. The space group is P2_1/m (11).

a b c (Å): 5.8172 3.9528 8.1837
angles (deg): 90.00 100.71 90.00
With the nearest neighbours (Å) after each atom.
Sites, in units of the cell vectors:
Pr (0.2277, 0.2500, 0.3904)  6 O 2.37-2.55
Pr (0.7723, 0.7500, 0.6096)  6 O 2.37-2.55
Tl (0.3768, 0.2500, 0.8395)  5 O 2.19-2.35
Tl (0.6232, 0.7500, 0.1605)  5 O 2.19-2.35
O (0.0527, 0.2500, 0.6524)  1 Tl 2.20
O (0.4013, 0.2500, 0.1097)  3 Tl 2.19-2.35
O (0.4559, 0.7500, 0.3813)  1 Tl 2.21, 3 Pr 2.37-2.39
O (0.5441, 0.2500, 0.6187)  1 Tl 2.21, 3 Pr 2.37-2.39
O (0.5987, 0.7500, 0.8903)  3 Tl 2.19-2.35
O (0.9473, 0.7500, 0.3476)  1 Tl 2.20

=====

no.,magnetic moment (μB per atom),mass density (Mg/m³)
1,0.001,5.201
2,0.000,2.597
3,0.023,8.694
4,0.000,8.368
5,0.000,10.987
6,0.000,7.527
7,0.000,6.455
8,0.000,7.064